{"formula": "CaTiPd2", "functional": "SCAN", "state": "PBEsol geometry", "density_g_cm3": 7.13, "formation_enthalpy_0k_mev_per_atom": -457, "lattice": [[-3.3814, 2.9490, 1.1339], [-4.1425, -1.6132, 1.2858], [-1.3628, 0.3741, 4.4067]], "species": ["Pd", "Pd", "Ti", "Ca"], "fractional_positions": [[0.2500, 0.2500, 0.2500], [0.7500, 0.7500, 0.7500], [0.5000, 0.5000, 0.5000], [0.0000, 0.0000, 0.0000]]}